VASP calculation (PBE-GGA) on a relaxed structure of LaNd3Zn.

Cell lengths 3.770, 6.599, 13.350 Å; angles 93.51, 89.98, 73.39 degrees
Fractional coordinates of all 10 atoms:
1 La 0.206 0.587 0.724
2 La 0.794 0.413 0.276
3 Nd 0.133 0.735 0.465
4 Nd 0.363 0.276 0.047
5 Nd 0.063 0.875 0.186
6 Nd 0.867 0.265 0.535
7 Nd 0.937 0.125 0.814
8 Nd 0.637 0.724 0.953
9 Zn 0.526 0.947 0.639
10 Zn 0.474 0.053 0.361

Computed properties:
As for the space group: C2/m (12). The value obtained for the volume is 31.8 Å³ per atom. The calculation puts the formation energy at -0.110 eV per atom. Its density of states at the Fermi level is 1.14 states/eV/atom. The crystal system is monoclinic. Its calculated total energy is -4.211 eV per atom. Its calculated density is 6.66 g cm⁻³.